Pa2BeSi3: optimized geometry, PBE.

The structure in POSCAR format:
```
Pa2BeSi3
1.0
3.9085 0.0000 0.0000
0.0000 4.0750 0.0000
0.0000 0.0000 6.7462
Pa Be Si
2 1 3
Direct
0.0000 0.0000 0.0000
0.5000 0.0000 0.4969
0.0000 0.5000 0.6708
0.0000 0.5000 0.3507
0.5000 0.5000 0.1626
0.5000 0.5000 0.8164
```

Computed properties:
Total magnetic moment = 0.00 μB/cell
Symmetry = Pmm2 (25)
Formation energy without anion corrections = -0.521 eV per atom
ρ = 8.58 g/cm³
Calculated volume = 107.45 Å³/cell